[1]
# Cu3HS PBE optimized geometry
data_Cu3HS
_chemical_formula_sum 'Cu3 H1 S1'
_symmetry_space_group_name_H-M 'P m -3 m'
_symmetry_Int_Tables_number 221
_symmetry_space_group_name_Hall '-P 4 2 3'
_cell_length_a 3.8077
_cell_length_b 3.8077
_cell_length_c 3.8077
_cell_angle_alpha 90.00
_cell_angle_beta 90.00
_cell_angle_gamma 90.00
loop_
_atom_site_label
_atom_site_type_symbol
_atom_site_fract_x
_atom_site_fract_y
_atom_site_fract_z
_atom_site_occupancy
Cu1 Cu 0.0000 0.0000 0.5000 1
H1 H 0.0000 0.0000 0.0000 1
S1 S 0.5000 0.5000 0.5000 1
# * total DFT energy (no corrections): -3.78 eV/atom

---

[2]
# CuHS2 PBE optimized geometry
data_CuHS2
_chemical_formula_sum 'Cu4 H4 S8'
_symmetry_space_group_name_H-M 'I -4 2 d'
_symmetry_Int_Tables_number 122
_symmetry_space_group_name_Hall 'I -4 2bw'
_cell_length_a 4.9470
_cell_length_b 4.9470
_cell_length_c 9.1984
_cell_angle_alpha 90.00
_cell_angle_beta 90.00
_cell_angle_gamma 90.00
loop_
_atom_site_label
_atom_site_type_symbol
_atom_site_fract_x
_atom_site_fract_y
_atom_site_fract_z
_atom_site_occupancy
Cu1 Cu 0.0000 0.0000 0.0000 1
H1 H 0.0000 0.0000 0.5000 1
S1 S 0.2065 0.2500 0.6250 1
# * total DFT energy (no corrections): -3.58 eV/atom

---

[3]
# CuHS PBE optimized geometry
data_CuHS
_chemical_formula_sum 'Cu4 H4 S4'
_symmetry_space_group_name_H-M 'C 1 2/m 1'
_symmetry_Int_Tables_number 12
_cell_length_a 6.5495
_cell_length_b 3.7720
_cell_length_c 9.1827
_cell_angle_alpha 90.00
_cell_angle_beta 101.02
_cell_angle_gamma 90.00
loop_
_symmetry_equiv_pos_as_xyz
'x,y,z'
'-x,-y,-z'
'-x,y,-z'
'x,-y,z'
'x+1/2,y+1/2,z'
'-x+1/2,-y+1/2,-z'
'-x+1/2,y+1/2,-z'
'x+1/2,-y+1/2,z'
loop_
_atom_site_label
_atom_site_type_symbol
_atom_site_fract_x
_atom_site_fract_y
_atom_site_fract_z
_atom_site_occupancy
Cu1 Cu 0.1387 0.0000 0.4002 1
H1 H 0.0383 0.0000 0.9743 1
S1 S 0.2108 0.0000 0.6626 1
# * total DFT energy (no corrections): -3.93 eV/atom

---

[4]
# CuHS PBE optimized geometry
data_CuHS
_chemical_formula_sum 'Cu2 H2 S2'
_symmetry_space_group_name_H-M 'I 4 m m'
_symmetry_Int_Tables_number 107
_symmetry_space_group_name_Hall 'I 4 -2'
_cell_length_a 3.4715
_cell_length_b 3.4715
_cell_length_c 6.8004
_cell_angle_alpha 90.00
_cell_angle_beta 90.00
_cell_angle_gamma 90.00
loop_
_atom_site_label
_atom_site_type_symbol
_atom_site_fract_x
_atom_site_fract_y
_atom_site_fract_z
_atom_site_occupancy
Cu1 Cu 0.0000 0.0000 0.0000 1
H1 H 0.0000 0.0000 0.2862 1
S1 S 0.0000 0.0000 0.4919 1
# * total DFT energy (no corrections): -3.79 eV/atom

---

[5]
# Cu2H3S4 PBE optimized geometry
data_Cu2H3S4
_chemical_formula_sum 'Cu8 H12 S16'
_symmetry_space_group_name_H-M 'C 1 2/c 1'
_symmetry_Int_Tables_number 15
_cell_length_a 11.3307
_cell_length_b 7.6513
_cell_length_c 7.5737
_cell_angle_alpha 90.00
_cell_angle_beta 107.41
_cell_angle_gamma 90.00
loop_
_symmetry_equiv_pos_as_xyz
'x,y,z'
'-x,-y,-z'
'-x,y,-z+1/2'
'x,-y,z+1/2'
'x+1/2,y+1/2,z'
'-x+1/2,-y+1/2,-z'
'-x+1/2,y+1/2,-z+1/2'
'x+1/2,-y+1/2,z+1/2'
loop_
_atom_site_label
_atom_site_type_symbol
_atom_site_fract_x
_atom_site_fract_y
_atom_site_fract_z
_atom_site_occupancy
Cu1 Cu 0.2217 0.0072 0.0844 1
H1 H 0.0000 0.0669 0.2500 1
H2 H 0.0744 0.4251 0.1481 1
S1 S 0.0901 0.4114 0.7216 1
S2 S 0.1479 0.0970 0.3069 1
# * total DFT energy (no corrections): -3.86 eV/atom

---

[6]
# CuH2S8 PBE optimized geometry
data_CuH2S8
_chemical_formula_sum 'Cu1 H2 S8'
_symmetry_space_group_name_H-M 'P -1'
_symmetry_Int_Tables_number 2
_cell_length_a 6.0538
_cell_length_b 7.4576
_cell_length_c 7.5840
_cell_angle_alpha 74.87
_cell_angle_beta 74.86
_cell_angle_gamma 89.40
loop_
_symmetry_equiv_pos_as_xyz
'x,y,z'
'-x,-y,-z'
loop_
_atom_site_label
_atom_site_type_symbol
_atom_site_fract_x
_atom_site_fract_y
_atom_site_fract_z
_atom_site_occupancy
Cu1 Cu 0.0000 0.0000 0.0000 1
H1 H 0.2802 0.5324 0.1879 1
S1 S 0.2474 0.3820 0.3440 1
S2 S 0.2515 0.9780 0.1735 1
S3 S 0.3174 0.5106 0.5296 1
S4 S 0.3230 0.8457 0.9680 1
# * total DFT energy (no corrections): -3.93 eV/atom

---

[7]
# CuH2S PBE optimized geometry
data_CuH2S
_chemical_formula_sum 'Cu3 H6 S3'
_symmetry_space_group_name_H-M 'R -3 m'
_symmetry_Int_Tables_number 166
_symmetry_space_group_name_Hall '-R 3 2"'
_cell_length_a 2.5365
_cell_length_b 2.5365
_cell_length_c 23.2089
_cell_angle_alpha 90.00
_cell_angle_beta 90.00
_cell_angle_gamma 120.00
loop_
_atom_site_label
_atom_site_type_symbol
_atom_site_fract_x
_atom_site_fract_y
_atom_site_fract_z
_atom_site_occupancy
Cu1 Cu 0.0000 0.0000 0.0000 1
H1 H 0.0000 0.0000 0.0667 1
S1 S 0.0000 0.0000 0.5000 1
# * total DFT energy (no corrections): -2.89 eV/atom

---

[8]
# CuHS2 PBE optimized geometry
data_CuHS2
_chemical_formula_sum 'Cu3 H3 S6'
_symmetry_space_group_name_H-M 'R -3 m'
_symmetry_Int_Tables_number 166
_symmetry_space_group_name_Hall '-R 3 2"'
_cell_length_a 2.9594
_cell_length_b 2.9594
_cell_length_c 20.8510
_cell_angle_alpha 90.00
_cell_angle_beta 90.00
_cell_angle_gamma 120.00
loop_
_atom_site_label
_atom_site_type_symbol
_atom_site_fract_x
_atom_site_fract_y
_atom_site_fract_z
_atom_site_occupancy
Cu1 Cu 0.0000 0.0000 0.0000 1
H1 H 0.0000 0.0000 0.5000 1
S1 S 0.0000 0.0000 0.1032 1
# * total DFT energy (no corrections): -3.21 eV/atom